# Li2PrSbN

Li2PrSbN after structural relaxation (GGA-PBE, Alexandria via LeMat-Bulk).

Cell lengths 7.0839, 7.0839, 7.5064 Å; angles 90.00, 90.00, 151.23 degrees
Closest atoms and distances in Å follow each position.
Atoms (fractional coordinates):
Li 0.1411 0.8589 0.5451  1 N 1.97
Li 0.1411 0.8589 0.9549  1 N 1.97
Li 0.8589 0.1411 0.0451  1 N 1.97
Li 0.8589 0.1411 0.4549  1 N 1.97
Pr 0.4724 0.5276 0.7500  4 N 2.60
Pr 0.5276 0.4724 0.2500  4 N 2.60
Sb 0.2546 0.7454 0.2500  6 Li 2.71-2.74
Sb 0.7454 0.2546 0.7500  6 Li 2.71-2.74
N 0.0000 0.0000 0.0000  2 Li 1.97
N 0.0000 0.0000 0.5000  2 Li 1.97

Output
Fermi-level density of states = 0.190 states/eV per atom
Space group = No. 63
Magnetization = 0.00 μB/f.u.
Raw total energy = -49.65 eV per cell